8
Lattice="-3.029 2.653 1.967 1.844 -0.855 3.994 5.678 7.272 -1.065" Properties=species:S:1:pos:R:3 comment="CeAgSbS (PBE-GGA, relaxed)" dos_ef_per_ev_cell=6.63 e_tot_ev_per_cell=-41.934 pbc="T T T"
Sb 5.512 5.450 1.136
Sb -0.426 2.721 0.779
S 2.839 3.636 -0.533
S 2.247 4.535 2.448
Ag 0.000 0.000 0.000
Ag -0.592 0.899 2.980
Ce 2.327 6.246 0.263
Ce 2.759 1.925 1.652

---

16
Lattice="-7.892 -0.546 1.097 -0.612 -4.422 -6.623 5.216 -2.058 5.952" Properties=species:S:1:pos:R:3 comment="CeAg2SbS4 (PBE-GGA, relaxed)" dos_ef_per_ev_cell=9.93 e_tot_ev_per_cell=-75.156 pbc="T T T"
S -2.106 -1.244 -1.354
S -2.401 -3.472 -4.722
S -0.888 -3.554 5.147
S -1.182 -5.783 1.779
S -3.743 -4.760 -1.149
S 0.148 -4.469 -1.682
S -3.436 -2.557 2.108
S 0.455 -2.266 1.574
Ce -8.198 -2.757 -2.214
Ce 2.302 -3.240 -0.336
Ag -1.950 -5.724 -3.099
Ag -3.946 -0.273 0.549
Ag -5.896 -5.997 -2.550
Ag -4.252 -2.484 -2.763
Sb -1.644 -3.513 0.213
Sb 0.000 0.000 0.000

---

14
Lattice="-6.264 1.336 4.027 -6.958 -1.100 -3.351 -4.229 -6.045 2.534" Properties=species:S:1:pos:R:3 comment="CeScAgS4 (PBE-GGA, relaxed)" e_tot_ev_per_cell=-83.670 pbc="T T T"
S -11.097 -1.429 1.119
S -7.401 -0.918 3.005
S -10.049 -4.891 0.204
S -13.161 -4.189 2.237
S -9.608 -3.687 4.184
S -4.289 -1.621 0.972
S -7.842 -2.123 -0.974
S -6.353 -4.381 2.091
Ce 0.000 0.000 0.000
Ce -5.593 -3.573 -0.409
Sc -5.246 -2.355 3.280
Sc -2.114 -3.023 1.267
Ag -8.744 -5.349 2.386
Ag -8.706 -0.461 0.823

---

11
Lattice="6.712 -0.075 0.401 -3.383 5.798 0.401 -0.912 -1.568 6.219" Properties=species:S:1:pos:R:3 comment="CeSc2Ag2S6 (PBE-GGA, relaxed)" e_tot_ev_per_cell=-63.795 pbc="T T T"
Sc 2.868 1.112 3.510
Sc -0.451 3.043 3.510
Ag -2.081 5.040 0.401
Ag 5.410 0.682 0.401
S 0.608 5.136 2.376
S -1.747 1.088 4.644
S 0.780 1.340 1.968
S 1.809 -0.982 4.644
S 4.164 3.067 2.376
S 1.637 2.814 5.053
Ce -0.456 -0.784 3.110

---

8
Lattice="-4.384 -1.210 0.089 -1.632 -2.380 3.516 -4.505 8.247 6.434" Properties=species:S:1:pos:R:3 comment="CeAgSeS (PBE-GGA, relaxed)" dos_ef_per_ev_cell=14.66 e_tot_ev_per_cell=-42.542 pbc="T T T"
Ce -6.846 -0.454 5.343
Ce -3.675 5.111 4.697
Ag -8.313 5.086 8.413
Ag -2.208 -0.430 1.627
Se -6.090 5.462 6.756
Se -4.431 -0.805 3.284
S -7.495 1.998 6.702
S -3.026 2.659 3.338

---

24
Lattice="10.339 0.000 0.000 -5.169 8.953 0.000 0.000 0.000 5.777" Properties=species:S:1:pos:R:3 comment="Ce3SiAgS7 (PBE-GGA, relaxed)" dos_ef_per_ev_cell=45.00 e_tot_ev_per_cell=-144.720 pbc="T T T"
S 1.522 4.698 2.979
S 0.340 7.923 2.979
S 8.036 0.814 1.524
S 0.000 5.969 0.152
S -1.862 5.287 2.979
S 7.031 3.667 0.091
S 1.856 1.586 1.524
S 3.313 7.367 4.413
S 5.169 2.984 3.040
S 5.615 6.553 1.524
S 4.829 1.031 0.091
S -2.867 8.139 4.413
S -0.446 2.401 4.413
S 3.647 4.256 0.091
Ce 7.263 1.107 4.320
Ce 2.673 6.844 1.432
Ce -0.579 3.217 1.432
Ce 2.497 2.110 4.320
Ce -2.094 7.846 1.432
Ce 5.748 5.736 4.320
Si 0.000 5.969 3.812
Si 5.169 2.984 0.923
Ag 0.000 0.000 1.779
Ag 0.000 0.000 4.667

---

14
Lattice="-4.330 -0.879 -6.343 -7.538 -2.488 0.780 -5.873 5.206 -1.422" Properties=species:S:1:pos:R:3 comment="CeAgSnS4 (PBE-GGA, relaxed)" dos_ef_per_ev_cell=10.38 e_tot_ev_per_cell=-70.839 pbc="T T T"
S -9.476 2.571 -5.765
S -8.264 -0.732 -1.220
S -7.217 3.030 -2.456
S -6.536 0.162 -4.980
S -11.204 1.677 -2.004
S -10.523 -1.191 -4.529
S -13.308 1.214 -5.213
S -4.432 0.625 -1.771
Ag -8.091 -1.477 -3.692
Ag -9.649 3.316 -3.293
Sn -5.101 2.164 -3.882
Sn -2.937 2.603 -0.711
Ce -6.705 1.359 -0.321
Ce 0.000 0.000 0.000

---

14
Lattice="-0.109 -3.092 -6.558 1.968 -4.660 2.164 -7.594 -1.168 4.392" Properties=species:S:1:pos:R:3 comment="SrCeAgS4 (PBE-GGA, relaxed)" dos_ef_per_ev_cell=6.01 e_tot_ev_per_cell=-72.390 pbc="T T T"
Ag -0.706 -4.532 1.374
Ag -5.028 -4.387 -1.375
Sr -5.852 -6.804 1.164
Sr 0.118 -2.116 -1.165
Ce -1.955 -6.257 -1.202
Ce -3.779 -2.663 1.201
S -1.292 -5.480 -3.962
S -3.060 -5.554 1.315
S -2.183 -3.372 -4.942
S -4.442 -3.439 3.961
S -6.193 -3.912 0.707
S -2.674 -3.365 -1.317
S -3.551 -5.547 4.940
S 0.459 -5.007 -0.708

---

8
Lattice="4.205 0.000 0.000 0.000 7.134 0.081 0.000 -2.536 6.756" Properties=species:S:1:pos:R:3 comment="Sr2CeAgS4 (PBE-GGA, relaxed)" dos_ef_per_ev_cell=5.64 e_tot_ev_per_cell=-41.717 pbc="T T T"
Sr 2.103 -1.268 3.378
Sr 0.000 2.299 3.418
S 2.103 1.200 1.609
S 0.000 4.664 1.680
S 0.000 -0.066 5.156
S 2.103 3.398 5.227
Ag 0.000 0.000 0.000
Ce 2.103 3.567 0.040

---

8
Lattice="4.655 0.000 0.000 2.328 4.032 0.000 2.328 1.344 11.648" Properties=species:S:1:pos:R:3 comment="CeAgTeS (PBE-GGA, relaxed)" dos_ef_per_ev_cell=14.01 e_tot_ev_per_cell=-41.314 pbc="T T T"
Te 4.655 2.688 9.661
Te 4.655 2.688 1.987
S 2.328 1.344 4.774
S 6.983 4.032 6.874
Ce 2.328 1.344 7.606
Ce 6.983 4.032 4.041
Ag 6.983 4.032 10.746
Ag 2.328 1.344 0.901

---

8
Lattice="-0.218 -0.051 -6.908 2.771 -4.327 -3.514 -4.227 -3.159 -3.301" Properties=species:S:1:pos:R:3 comment="CeTlAg2S4 (PBE-GGA, relaxed)" dos_ef_per_ev_cell=5.26 e_tot_ev_per_cell=-35.341 pbc="T T T"
Ce -0.837 -3.769 -6.862
S 0.969 -2.669 -8.546
S -2.746 -4.892 -8.412
S 0.610 -5.411 -5.276
S -2.183 -2.102 -5.212
Ag -0.477 -2.233 -3.426
Ag -1.198 -5.304 -10.297
Tl 0.000 0.000 0.000

---

9
Lattice="-3.294 -0.073 -2.558 -1.531 -7.225 2.177 -1.885 5.047 5.685" Properties=species:S:1:pos:R:3 comment="CeTl2Ag2S4 (PBE-GGA, relaxed)" e_tot_ev_per_cell=-39.791 pbc="T T T"
Ag -4.403 -5.329 2.420
Ag -2.307 3.079 2.883
S -2.861 -5.512 0.440
S -5.033 -2.812 3.159
S -3.849 3.263 4.864
S -1.678 0.562 2.144
Ce 0.000 0.000 0.000
Tl -4.864 0.466 2.848
Tl -1.847 -2.716 2.455

---

11
Lattice="7.062 -0.139 0.098 -3.611 6.070 0.098 -1.188 -2.042 7.334" Properties=species:S:1:pos:R:3 comment="Ce2Tl2AgS6 (PBE-GGA, relaxed)" dos_ef_per_ev_cell=8.95 e_tot_ev_per_cell=-55.364 pbc="T T T"
S -1.941 1.141 5.274
S 0.311 5.013 2.256
S 1.774 3.049 5.133
S 1.951 -1.124 5.274
S 4.204 2.748 2.256
S 0.489 0.840 2.397
Ag -0.594 -1.021 3.667
Ce 2.896 0.918 3.765
Ce -0.633 2.971 3.765
Tl 5.340 0.862 0.098
Tl -1.890 5.068 0.098

---

12
Lattice="4.165 0.000 0.000 0.000 8.710 -0.021 0.000 -2.315 8.915" Properties=species:S:1:pos:R:3 comment="CeTlAgS3 (PBE-GGA, relaxed)" e_tot_ev_per_cell=-59.271 pbc="T T T"
S 1.041 5.639 4.091
S 1.041 2.735 7.563
S 3.124 3.660 1.332
S 1.041 -0.886 7.864
S 3.124 0.756 4.803
S 3.124 7.281 1.030
Ag 3.124 7.096 3.547
Ag 1.041 -0.701 5.348
Ce 1.041 5.529 1.406
Ce 3.124 0.866 7.488
Tl 1.041 1.229 2.200
Tl 3.124 5.166 6.694

---

10
Lattice="-3.710 2.255 -0.529 0.096 -0.851 -4.298 -4.731 -11.515 2.175" Properties=species:S:1:pos:R:3 comment="CeAg2Sb2 (PBE-GGA, relaxed)" dos_ef_per_ev_cell=11.59 e_tot_ev_per_cell=-44.732 pbc="T T T"
Ag -6.001 -10.217 -1.462
Ag -2.344 0.105 -1.190
Ag -0.447 -1.457 -3.073
Ag -7.898 -8.655 0.421
Sb -3.223 -5.836 -2.268
Sb -6.829 -7.470 -2.025
Sb -5.121 -4.275 -0.385
Sb -1.516 -2.642 -0.628
Ce -4.582 -7.478 0.262
Ce -3.763 -2.633 -2.914

---

6
Lattice="4.572 0.000 0.000 0.000 6.285 0.000 -2.286 -3.143 6.274" Properties=species:S:1:pos:R:3 comment="Ce2AgSb3 (PBE-GGA, relaxed)" dos_ef_per_ev_cell=7.95 e_tot_ev_per_cell=-30.263 pbc="T T T"
Sb 0.000 0.000 0.000
Sb 0.000 0.000 4.276
Sb 2.286 3.143 1.998
Ce 2.286 0.000 2.145
Ce 0.000 3.143 4.129
Ag 0.000 3.143 0.000

---

7
Lattice="-1.208 2.197 3.624 1.005 -3.512 2.464 9.296 3.392 1.042" Properties=species:S:1:pos:R:3 comment="Ce2AgSb4 (PBE-GGA, relaxed)" dos_ef_per_ev_cell=7.36 e_tot_ev_per_cell=-36.025 pbc="T T T"
Ce 6.373 3.644 2.594
Ce 2.821 -0.910 1.492
Sb 4.547 1.038 3.565
Sb 4.648 1.696 0.521
Sb 8.202 1.053 2.095
Sb 0.992 1.681 1.991
Ag -0.101 -0.657 3.044

---

8
Lattice="3.025 0.000 0.000 0.000 3.025 0.000 0.000 0.000 23.567" Properties=species:S:1:pos:R:3 comment="Ce2Ag3Sb3 (PBE-GGA, relaxed)" dos_ef_per_ev_cell=12.78 e_tot_ev_per_cell=-30.308 pbc="T T T"
Ce 1.513 1.513 17.637
Ce 1.513 1.513 5.930
Sb 1.513 1.513 0.000
Sb 1.513 1.513 9.076
Sb 1.513 1.513 14.491
Ag 1.513 1.513 20.687
Ag 1.513 1.513 2.880
Ag 1.513 1.513 11.784

---

4
Lattice="-4.625 -2.085 -1.056 -1.805 -3.901 2.894 -3.990 0.787 3.210" Properties=species:S:1:pos:R:3 comment="CeScAgSb (PBE-GGA, relaxed)" dos_ef_per_ev_cell=9.16 e_tot_ev_per_cell=-21.074 pbc="T T T"
Sb -7.815 -3.899 3.787
Ag -2.605 -1.300 1.262
Sc -5.210 -2.600 2.525
Ce 0.000 0.000 0.000

---

4
Lattice="-4.435 1.706 -2.370 -3.401 -3.495 -2.102 -4.720 -0.820 2.292" Properties=species:S:1:pos:R:3 comment="TbCeAgSb (PBE-GGA, relaxed)" dos_ef_per_ev_cell=9.95 e_tot_ev_per_cell=-19.590 pbc="T T T"
Ce -6.278 -1.305 -1.090
Sb -9.417 -1.957 -1.635
Ag -3.139 -0.652 -0.545
Tb 0.000 0.000 0.000